# 1
A relaxed Sm2ZnSi2Ir5 crystal, computed with GGA-PBE.

Summary:
volume = 16.86 Å³ per atom
formation energy (no corrections) = -0.71 eV per atom

```
data_Sm2ZnSi2Ir5
_chemical_formula_sum 'Sm4 Zn2 Si4 Ir10'
_cell_length_a 3.510
_cell_length_b 9.801
_cell_length_c 9.801
_cell_angle_alpha 90.00
_cell_angle_beta 90.00
_cell_angle_gamma 90.00
_symmetry_space_group_name_H-M 'P 1'
_symmetry_Int_Tables_number 1
_symmetry_space_group_name_Hall 'P 1'
loop_
_atom_site_label
_atom_site_fract_x
_atom_site_fract_y
_atom_site_fract_z
Sm1 0.000 0.675 0.175
Sm2 0.000 0.325 0.825
Sm3 0.000 0.175 0.325
Sm4 0.000 0.825 0.675
Zn1 0.000 0.000 0.000
Zn2 0.000 0.500 0.500
Si1 0.000 0.125 0.625
Si2 0.000 0.875 0.375
Si3 0.000 0.625 0.875
Si4 0.000 0.375 0.125
Ir1 0.500 0.212 0.066
Ir2 0.500 0.788 0.934
Ir3 0.500 0.066 0.788
Ir4 0.500 0.712 0.434
Ir5 0.500 0.934 0.212
Ir6 0.500 0.288 0.566
Ir7 0.500 0.566 0.712
Ir8 0.500 0.434 0.288
Ir9 0.500 0.500 0.000
Ir10 0.500 0.000 0.500
```

=====

# 2
A relaxed RbTiHgTe3 crystal, computed with GGA-PBE.

Summary:
volume = 36.88 Å³ per atom
formation energy (no corrections) = -0.57 eV per atom

```
data_RbTiHgTe3
_chemical_formula_sum 'Rb2 Ti2 Hg2 Te6'
_cell_length_a 7.377
_cell_length_b 8.041
_cell_length_c 8.621
_cell_angle_alpha 62.20
_cell_angle_beta 84.44
_cell_angle_gamma 78.01
_symmetry_space_group_name_H-M 'P 1'
_symmetry_Int_Tables_number 1
_symmetry_space_group_name_Hall 'P 1'
loop_
_atom_site_label
_atom_site_fract_x
_atom_site_fract_y
_atom_site_fract_z
Rb1 0.250 0.255 0.489
Rb2 0.750 0.745 0.511
Ti1 0.750 0.054 0.891
Ti2 0.250 0.946 0.109
Hg1 0.250 0.579 0.843
Hg2 0.750 0.421 0.157
Te1 0.514 0.804 0.936
Te2 0.986 0.261 0.936
Te3 0.750 0.225 0.550
Te4 0.486 0.196 0.064
Te5 0.014 0.739 0.064
Te6 0.250 0.775 0.450
```

=====

# 3
A relaxed Cs3SbBr7 crystal, computed with GGA-PBE.

Summary:
volume = 42.69 Å³ per atom
formation energy (no corrections) = -1.22 eV per atom

```
data_Cs3SbBr7
_chemical_formula_sum 'Cs6 Sb2 Br14'
_cell_length_a 7.705
_cell_length_b 11.043
_cell_length_c 11.039
_cell_angle_alpha 90.00
_cell_angle_beta 90.00
_cell_angle_gamma 90.00
_symmetry_space_group_name_H-M 'P 1'
_symmetry_Int_Tables_number 1
_symmetry_space_group_name_Hall 'P 1'
loop_
_atom_site_label
_atom_site_fract_x
_atom_site_fract_y
_atom_site_fract_z
Cs1 0.500 0.175 0.675
Cs2 0.500 0.675 0.825
Cs3 0.500 0.325 0.175
Cs4 0.500 0.825 0.325
Cs5 0.000 0.500 0.500
Cs6 0.000 0.000 0.000
Sb1 0.000 0.000 0.500
Sb2 0.000 0.500 0.000
Br1 0.744 0.381 0.881
Br2 0.744 0.619 0.119
Br3 0.744 0.119 0.381
Br4 0.744 0.881 0.619
Br5 0.256 0.381 0.881
Br6 0.256 0.881 0.619
Br7 0.256 0.119 0.381
Br8 0.256 0.619 0.119
Br9 0.500 0.000 0.000
Br10 0.500 0.500 0.500
Br11 0.000 0.826 0.326
Br12 0.000 0.326 0.174
Br13 0.000 0.674 0.826
Br14 0.000 0.174 0.674
```

=====

# 4
A relaxed Sr2MgCd3Hg4 crystal, computed with GGA-PBE.

Summary:
volume = 27.63 Å³ per atom
ΔH_f (0 K) = -0.312 eV per atom

```
data_Sr2MgCd3Hg4
_chemical_formula_sum 'Sr2 Mg1 Cd3 Hg4'
_cell_length_a 4.637
_cell_length_b 4.637
_cell_length_c 12.855
_cell_angle_alpha 90.00
_cell_angle_beta 90.00
_cell_angle_gamma 90.00
_symmetry_space_group_name_H-M 'P 1'
_symmetry_Int_Tables_number 1
_symmetry_space_group_name_Hall 'P 1'
loop_
_atom_site_label
_atom_site_fract_x
_atom_site_fract_y
_atom_site_fract_z
Sr1 0.500 0.000 0.250
Sr2 0.000 0.500 0.750
Mg1 0.500 0.500 0.500
Cd1 0.000 0.000 0.500
Cd2 0.500 0.000 0.858
Cd3 0.000 0.500 0.142
Hg1 0.500 0.500 0.000
Hg2 0.000 0.000 0.000
Hg3 0.500 0.000 0.639
Hg4 0.000 0.500 0.361
```

=====

no.,mass density (g/cm³),N(E_F) (states/eV per cell)
1,13.6,3.1
2,5.4,5.3
3,3.8,23.5
4,8.0,2.7